1.
This record from Alexandria describes Cu2NiCl after structural relaxation. The functional is PBE.

Computed properties:
Formation energy from raw total energies   0.209 eV per atom
Total magnetization   0.82 μB per cell
Excess energy over the best structure of this formula in the dataset   0.109 eV per atom
VASP energy   -3.746 eV/atom

Cell and atoms, written as CIF:
```
data_Cu2NiCl
_cell_length_a 2.829
_cell_length_b 3.864
_cell_length_c 11.210
_cell_angle_alpha 90.00
_cell_angle_beta 90.00
_cell_angle_gamma 90.00
_symmetry_space_group_name_H-M 'I m m 2'
_symmetry_Int_Tables_number 44
loop_
_symmetry_equiv_pos_as_xyz
'x,y,z'
'-x,-y,z'
'-x,y,z'
'x,-y,z'
'x+1/2,y+1/2,z+1/2'
'-x+1/2,-y+1/2,z+1/2'
'-x+1/2,y+1/2,z+1/2'
'x+1/2,-y+1/2,z+1/2'
loop_
_atom_site_label
_atom_site_type_symbol
_atom_site_fract_x
_atom_site_fract_y
_atom_site_fract_z
Cu1 Cu 0.000 0.000 0.000
Cu2 Cu 0.000 0.500 0.128
Ni1 Ni 0.000 0.500 0.688
Cl1 Cl 0.000 0.000 0.351
```



2.
This record from Alexandria describes CuNi2Cl after structural relaxation. The functional is PBE.

Computed properties:
Formation energy from raw total energies   0.322 eV per atom
Total magnetization   2.28 μB per cell
Excess energy over the best structure of this formula in the dataset   0.163 eV per atom
VASP energy   -4.055 eV/atom

Cell and atoms, written as CIF:
```
data_CuNi2Cl
_cell_length_a 2.829
_cell_length_b 3.855
_cell_length_c 10.796
_cell_angle_alpha 90.00
_cell_angle_beta 90.00
_cell_angle_gamma 90.00
_symmetry_space_group_name_H-M 'I m m 2'
_symmetry_Int_Tables_number 44
loop_
_symmetry_equiv_pos_as_xyz
'x,y,z'
'-x,-y,z'
'-x,y,z'
'x,-y,z'
'x+1/2,y+1/2,z+1/2'
'-x+1/2,-y+1/2,z+1/2'
'-x+1/2,y+1/2,z+1/2'
'x+1/2,-y+1/2,z+1/2'
loop_
_atom_site_label
_atom_site_type_symbol
_atom_site_fract_x
_atom_site_fract_y
_atom_site_fract_z
Cu1 Cu 0.000 0.000 0.000
Ni1 Ni 0.000 0.000 0.558
Ni2 Ni 0.000 0.500 0.872
Cl1 Cl 0.000 0.500 0.231
```